Computed, not measured: a geometry-optimized SrCaW structure at the GGA-PBE level of DFT.

The structure belongs to space group F-43m (No. 216); the cell edges are 7.665, 7.665 and 7.665 Å and the angles 90.00°, 90.00° and 90.00°. The asymmetric unit holds Sr at (0.000, 0.000, 0.000), Ca at (0.000, 0.000, 0.500) and W at (0.250, 0.250, 0.750).

As for the formation energy: 4.52 eV/f.u. Its volume is 37.5 A^3/atom.